# CrIrIO2 (PBE with a Hubbard U, relaxed)
# - Total energy: -5.5944 eV/atom
data_CrIrIO2
_cell_length_a 3.699
_cell_length_b 3.699
_cell_length_c 7.903
_cell_angle_alpha 90.00
_cell_angle_beta 90.00
_cell_angle_gamma 90.00
_symmetry_space_group_name_H-M 'P 1'
_symmetry_Int_Tables_number 1
loop_
_symmetry_equiv_pos_as_xyz
'x,y,z'
loop_
_atom_site_label
_atom_site_type_symbol
_atom_site_fract_x
_atom_site_fract_y
_atom_site_fract_z
Cr1 Cr 0.000 0.000 0.000
O1 O 0.000 0.500 0.000
O2 O 0.500 0.000 0.000
Ir1 Ir 0.500 0.500 0.500
I1 I 0.000 0.000 0.500